Computed, not measured: an optimized crystal structure of Na2MnTeF at the GGA+U level of DFT.

```
Na2MnTeF
1.0
5.947 0.000 0.000
0.000 5.688 0.000
0.000 0.000 5.947
Na Te F Mn
2 1 1 1
Cartesian
2.974 0.000 0.000
0.000 0.000 2.974
0.000 0.000 0.000
2.974 2.844 2.974
0.000 2.844 0.000
```

As for the symmetry: P4/mmm, No. 123. The total magnetic moment comes out at 5.0 μB/f.u. For the total energy, the calculation gives -3.557 eV per atom. The mass density is 2.04 g/cm3.



Computed, not measured: an optimized crystal structure of NaTiMnF6 at the GGA+U level of DFT.

```
NaTiMnF6
1.0
5.504 0.000 0.000
-2.752 4.767 0.000
0.000 0.000 9.749
Ti F Mn Na
2 12 2 2
Cartesian
0.000 3.178 7.311
2.752 1.589 2.437
1.974 0.100 1.354
3.530 0.100 3.520
-0.778 4.667 6.228
4.431 1.659 1.354
1.073 1.659 3.520
3.652 3.007 3.520
1.679 3.107 6.228
0.778 4.667 8.395
-1.679 3.107 8.395
-0.900 1.759 6.228
1.852 3.007 1.354
0.900 1.759 8.395
2.752 1.589 7.311
0.000 3.178 2.437
0.000 0.000 4.874
0.000 0.000 0.000
```

As for the symmetry: P-31c, No. 163. The total magnetic moment comes out at 6.0 μB/f.u. For the total energy, the calculation gives -6.073 eV per atom. The mass density is 3.11 g/cm3.



Repeat the second record exactly.
Computed, not measured: an optimized crystal structure of NaTiMnF6 at the GGA+U level of DFT.

```
NaTiMnF6
1.0
5.504 0.000 0.000
-2.752 4.767 0.000
0.000 0.000 9.749
Ti F Mn Na
2 12 2 2
Cartesian
0.000 3.178 7.311
2.752 1.589 2.437
1.974 0.100 1.354
3.530 0.100 3.520
-0.778 4.667 6.228
4.431 1.659 1.354
1.073 1.659 3.520
3.652 3.007 3.520
1.679 3.107 6.228
0.778 4.667 8.395
-1.679 3.107 8.395
-0.900 1.759 6.228
1.852 3.007 1.354
0.900 1.759 8.395
2.752 1.589 7.311
0.000 3.178 2.437
0.000 0.000 4.874
0.000 0.000 0.000
```

As for the symmetry: P-31c, No. 163. The total magnetic moment comes out at 6.0 μB/f.u. For the total energy, the calculation gives -6.073 eV per atom. The mass density is 3.11 g/cm3.



What did the first record say?
Computed, not measured: an optimized crystal structure of Na2MnTeF at the GGA+U level of DFT.

```
Na2MnTeF
1.0
5.947 0.000 0.000
0.000 5.688 0.000
0.000 0.000 5.947
Na Te F Mn
2 1 1 1
Cartesian
2.974 0.000 0.000
0.000 0.000 2.974
0.000 0.000 0.000
2.974 2.844 2.974
0.000 2.844 0.000
```

As for the symmetry: P4/mmm, No. 123. The total magnetic moment comes out at 5.0 μB/f.u. For the total energy, the calculation gives -3.557 eV per atom. The mass density is 2.04 g/cm3.



Q: What is the mass density in the second record?
A: 3.11 g/cm3



Q: What is the formula in the first record?
A: Na2MnTeF